# 1
Compound: LaH6Pt
Source: the Open Quantum Materials Database
Functional: GGA-PBE
Structure: relaxed

The space group is R-3m (No. 166, hexagonal axes) and the conventional cell measures 6.4458, 6.4458 and 6.4168 Å, with angles of 90.00, 90.00 and 120.00 degrees. Symmetry generates all atoms from La at (0.0000, 0.0000, 0.0000), H at (0.1007, 0.5503, 0.3355) and Pt at (0.0000, 0.0000, 0.5000).



# 2
Compound: LaNd2SmSe3O4
Source: the Open Quantum Materials Database
Functional: GGA-PBE
Structure: relaxed

The space group is Amm2 (No. 38) and the conventional cell measures 8.4610, 4.0153 and 12.8778 Å, with angles of 90.00, 90.00 and 90.00 degrees. Symmetry generates all atoms from La at (0.0000, 0.0000, 0.0000), Nd at (0.2648, 0.0000, 0.6684), Sm at (0.5000, 0.0000, 0.9864), Se at (0.1493, 0.0000, 0.3372), Se at (0.5000, 0.0000, 0.2998), O at (0.0000, 0.0000, 0.6018), O at (0.2597, 0.0000, 0.0713) and O at (0.5000, 0.0000, 0.5710).



# 3
Compound: SmTlZnS3
Source: the Open Quantum Materials Database
Functional: GGA-PBE
Structure: relaxed

The space group is C2/m (No. 12) and the conventional cell measures 16.5454, 4.1436 and 8.9887 Å, with angles of 90.00, 105.98 and 90.00 degrees. Symmetry generates all atoms from Sm at (0.1716, 0.0000, 0.1034), Tl at (0.1375, 0.0000, 0.5673), Zn at (0.0001, 0.5000, 0.2165), S at (0.0000, 0.0000, 0.0000), S at (0.0000, 0.5000, 0.5000), S at (0.1497, 0.5000, 0.2916) and S at (0.1554, 0.5000, 0.8777).



# 4
Compound: HfScGa2Au2
Source: the Open Quantum Materials Database
Functional: GGA-PBE
Structure: relaxed

The space group is P-6m2 (No. 187) and the conventional cell measures 4.4361, 4.4361 and 6.5044 Å, with angles of 90.00, 90.00 and 120.00 degrees. Symmetry generates all atoms from Hf at (0.0000, 0.0000, 0.0000), Sc at (0.0000, 0.0000, 0.5000), Ga at (0.3333, 0.6667, 0.2137) and Au at (0.6667, 0.3333, 0.2637).



# 5
Compound: AcNiTe
Source: the Open Quantum Materials Database
Functional: GGA-PBE
Structure: relaxed

The space group is F-43m (No. 216) and the conventional cell measures 6.8300, 6.8300 and 6.8300 Å, with angles of 90.00, 90.00 and 90.00 degrees. Symmetry generates all atoms from Ac at (0.0000, 0.0000, 0.0000), Ni at (0.2500, 0.2500, 0.7500) and Te at (0.0000, 0.0000, 0.5000).



# 6
Compound: Mg2ZnCu
Source: the Open Quantum Materials Database
Functional: GGA-PBE
Structure: relaxed

The space group is F-43m (No. 216) and the conventional cell measures 6.3726, 6.3726 and 6.3726 Å, with angles of 90.00, 90.00 and 90.00 degrees. Symmetry generates all atoms from Mg at (0.0000, 0.0000, 0.0000), Mg at (0.2500, 0.2500, 0.2500), Zn at (0.0000, 0.0000, 0.5000) and Cu at (0.2500, 0.2500, 0.7500).



# 7
Compound: Rb4GaAu2O
Source: the Open Quantum Materials Database
Functional: GGA-PBE
Structure: relaxed

The space group is Amm2 (No. 38) and the conventional cell measures 8.5397, 4.9397 and 16.7070 Å, with angles of 90.00, 90.00 and 90.00 degrees. Symmetry generates all atoms from Rb at (0.2308, 0.0000, 0.0000), Rb at (0.2597, 0.0000, 0.7392), Ga at (0.5000, 0.0000, 0.4167), Au at (0.5000, 0.0000, 0.1373), Au at (0.5000, 0.0000, 0.5684) and O at (0.5000, 0.0000, 0.3106).



# 8
Compound: LaPrGa2Cl2
Source: the Open Quantum Materials Database
Functional: GGA-PBE
Structure: relaxed

The space group is P3m1 (No. 156) and the conventional cell measures 4.2511, 4.2511 and 10.9975 Å, with angles of 90.00, 90.00 and 120.00 degrees. Symmetry generates all atoms from La at (0.0000, 0.0000, 0.0000), Pr at (0.0000, 0.0000, 0.3938), Ga at (0.3333, 0.6667, 0.1694), Ga at (0.6667, 0.3333, 0.2269), Cl at (0.3333, 0.6667, 0.5402) and Cl at (0.6667, 0.3333, 0.8517).



| no. | electronic total energy (eV/atom) |
| --- | --- |
| 1 | -4.249 |
| 2 | -7.284 |
| 3 | -4.514 |
| 4 | -5.431 |
| 5 | -4.962 |
| 6 | -2.037 |
| 7 | -2.695 |
| 8 | -4.686 |